Record 1
A plane-wave DFT calculation with PBE was carried out for crystalline Ce2BeGe2 at its relaxed geometry.

Values from the calculation:
magnetic moment: 2.760 μB per cell
energy relative to the lowest polymorph listed for this composition: 0 meV per atom
calculated formation energy: -59.1 kJ/mol of atoms

The structure in POSCAR format:
```
Ce2BeGe2
1.0
5.392 -2.016 0.000
5.392 2.016 0.000
-3.511 0.000 9.779
Ce Be Ge
4 2 4
Direct
0.077 0.077 0.412 Ce
0.309 0.309 0.861 Ce
0.691 0.691 0.139 Ce
0.923 0.923 0.588 Ce
0.421 0.421 0.182 Be
0.579 0.579 0.818 Be
0.045 0.045 0.903 Ge
0.339 0.339 0.355 Ge
0.661 0.661 0.645 Ge
0.955 0.955 0.097 Ge
```

---

Record 2
A plane-wave DFT calculation with PBE was carried out for crystalline MnCrFe2 at its relaxed geometry.

Values from the calculation:
magnetic moment: 1.025 μB per cell
calculated formation energy: 15.5 kJ/mol of atoms

The structure in POSCAR format:
```
MnCrFe2
1.0
1.239 0.715 8.213
-1.239 0.715 8.213
0.000 -1.431 8.213
Mn Cr Fe
1 1 2
Direct
0.000 0.000 0.000 Mn
0.246 0.246 0.246 Cr
0.498 0.498 0.498 Fe
0.748 0.748 0.748 Fe
```

---

- The highest calculated formation energy belongs to which entry?
  MnCrFe2

---

- Which of these has the lowest calculated formation energy?
  Ce2BeGe2

---

- calculated formation energy of number 2 (MnCrFe2)?
  15.5 kJ/mol of atoms

---

- Which of these has the highest magnetic moment?
  Ce2BeGe2